## Y6Hg2C (PBE)

Data for a relaxed structure of Y6Hg2C.

Summary:
- Energy of formation: -0.3933 eV per atom
- Space group: P2_1/c (14)

Structure (extended XYZ):
```
18
Lattice="6.929 0.000 0.000 0.000 6.958 0.000 -6.910 0.000 9.816" Properties=species:S:1:pos:R:3 pbc="T T T"
Y -0.572 0.042 2.387
Y -4.027 3.437 7.295
Y 1.593 5.165 0.420
Y -1.862 5.273 5.328
Y 1.781 1.615 0.424
Y -1.674 1.864 5.332
Y 1.693 5.095 4.484
Y -1.762 5.343 9.392
Y 1.881 1.686 4.488
Y -1.574 1.793 9.396
Y 4.046 3.521 2.521
Y 0.591 6.916 7.429
Hg -3.367 0.113 7.356
Hg 0.088 3.366 2.448
Hg -0.069 3.593 7.368
Hg 3.386 6.845 2.460
C 0.000 0.000 0.000
C -3.455 3.479 4.908
```